Below is crystalline LiCd6Hg8 at its relaxed geometry, with properties calculated at the PBE level.

Final energy = -0.66 eV per atom
Total moment = 0.000 μB per cell
Space group = P-3
ΔE to the lowest computed polymorph = 0 meV per atom
Crystal system = trigonal
E_form = -0.001 eV per atom

a = 5.6643 Å, b = 8.6786 Å, c = 8.6786 Å
α = 120.00°, β = 90.00°, γ = 90.00°
Positions (direct):
Hg 0.8310 0.3333 0.6667
Hg 0.2030 0.2717 0.2241
Cd 0.3084 0.1042 0.4609
Hg 0.2030 0.9524 0.7283
Cd 0.6916 0.6433 0.1042
Hg 0.2030 0.7759 0.0476
Hg 0.7970 0.0476 0.2717
Cd 0.3084 0.5391 0.6433
Hg 0.1690 0.6667 0.3333
Cd 0.3084 0.3567 0.8958
Cd 0.6916 0.4609 0.3567
Hg 0.7970 0.2241 0.9524
Hg 0.7970 0.7283 0.7759
Li 0.5000 0.0000 0.0000
Cd 0.6916 0.8958 0.5391